DFT (PBE-GGA) results for crystalline Dy5Y4Tl2 at its relaxed geometry.

Properties
M_tot	0.0	μB per cell
total DFT energy (no corrections)	-50.8	eV for the cell shown
DFT formation energy	254	meV/atom

Cell: 5.205 5.205 16.127 Å, 80.71 80.71 60.00°
Element x y z (fractional)
Y 0.725 0.725 0.826
Y 0.275 0.275 0.174
Dy 0.648 0.648 0.055
Dy 0.198 0.198 0.405
Dy 0.500 0.500 0.500
Y 0.573 0.573 0.281
Tl 0.120 0.120 0.640
Dy 0.802 0.802 0.595
Dy 0.352 0.352 0.945
Tl 0.880 0.880 0.360
Y 0.427 0.427 0.719